Compound: CaEr3Cu4
Source: Alexandria
Functional: PBE-GGA
Structure: relaxed

Values from the calculation:
V: 165 Å³/cell
density: 8.0 g/cm³
ΔH_f (0 K): -0.219 eV/atom

CIF file:
```
data_CaEr3Cu4
_chemical_formula_sum 'Ca1 Er3 Cu4'
_cell_length_a 4.8929
_cell_length_b 4.8929
_cell_length_c 6.9004
_cell_angle_alpha 90.00
_cell_angle_beta 90.00
_cell_angle_gamma 90.00
_symmetry_space_group_name_H-M 'P 4/m m m'
_symmetry_Int_Tables_number 123
_symmetry_space_group_name_Hall '-P 4 2'
loop_
_atom_site_label
_atom_site_fract_x
_atom_site_fract_y
_atom_site_fract_z
_atom_site_occupancy
Ca1 0.0000 0.0000 0.0000 1
Er1 0.0000 0.0000 0.5000 1
Er2 0.5000 0.5000 0.0000 1
Er3 0.5000 0.5000 0.5000 1
Cu1 0.0000 0.5000 0.2634 1
```



Compound: NaIr2Cl8
Source: Alexandria
Functional: PBE-GGA
Structure: relaxed

Values from the calculation:
offset from the most stable computed form: 172 meV/atom
V: 738 Å³/cell
density: 3.1 g/cm³
raw formation energy: -0.34 eV/atom

CIF file:
```
data_NaIr2Cl8
_chemical_formula_sum 'Na2 Ir4 Cl16'
_cell_length_a 13.1990
_cell_length_b 8.5486
_cell_length_c 6.9710
_cell_angle_alpha 90.00
_cell_angle_beta 110.28
_cell_angle_gamma 90.00
_symmetry_space_group_name_H-M 'C 1 2/m 1'
_symmetry_Int_Tables_number 12
loop_
_symmetry_equiv_pos_as_xyz
'x,y,z'
'-x,-y,-z'
'-x,y,-z'
'x,-y,z'
'x+1/2,y+1/2,z'
'-x+1/2,-y+1/2,-z'
'-x+1/2,y+1/2,-z'
'x+1/2,-y+1/2,z'
loop_
_atom_site_label
_atom_site_fract_x
_atom_site_fract_y
_atom_site_fract_z
_atom_site_occupancy
Na1 0.0000 0.0000 0.0000 1
Ir1 0.1923 0.0000 0.6670 1
Cl1 0.1090 0.1824 0.7927 1
Cl2 0.1276 0.5000 0.2099 1
Cl3 0.2034 0.0000 0.3518 1
```



Compound: PAu2Br
Source: Alexandria
Functional: PBE-GGA
Structure: relaxed

Values from the calculation:
offset from the most stable computed form: 361 meV/atom
V: 166 Å³/cell
density: 10.1 g/cm³
raw formation energy: 0.45 eV/atom

CIF file:
```
data_PAu2Br
_chemical_formula_sum 'P2 Au4 Br2'
_cell_length_a 5.6539
_cell_length_b 7.6534
_cell_length_c 4.7495
_cell_angle_alpha 90.00
_cell_angle_beta 126.34
_cell_angle_gamma 90.00
_symmetry_space_group_name_H-M 'C 1 2/m 1'
_symmetry_Int_Tables_number 12
loop_
_symmetry_equiv_pos_as_xyz
'x,y,z'
'-x,-y,-z'
'-x,y,-z'
'x,-y,z'
'x+1/2,y+1/2,z'
'-x+1/2,-y+1/2,-z'
'-x+1/2,y+1/2,-z'
'x+1/2,-y+1/2,z'
loop_
_atom_site_label
_atom_site_fract_x
_atom_site_fract_y
_atom_site_fract_z
_atom_site_occupancy
P1 0.0000 0.0000 0.0000 1
Au1 0.2500 0.2500 0.5000 1
Br1 0.0000 0.5000 0.0000 1
```



Compound: La2SeCl
Source: Alexandria
Functional: PBE-GGA
Structure: relaxed

Values from the calculation:
offset from the most stable computed form: 78 meV/atom
V: 334 Å³/cell
density: 5.9 g/cm³
raw formation energy: -1.70 eV/atom

CIF file:
```
data_La2SeCl
_chemical_formula_sum 'La6 Se3 Cl3'
_cell_length_a 4.1042
_cell_length_b 4.1042
_cell_length_c 22.8868
_cell_angle_alpha 90.00
_cell_angle_beta 90.00
_cell_angle_gamma 120.00
_symmetry_space_group_name_H-M 'R 3 m'
_symmetry_Int_Tables_number 160
_symmetry_space_group_name_Hall 'R 3 -2"'
loop_
_atom_site_label
_atom_site_fract_x
_atom_site_fract_y
_atom_site_fract_z
_atom_site_occupancy
La1 0.0000 0.0000 0.0000 1
La2 0.0000 0.0000 0.1780 1
Se1 0.0000 0.0000 0.5893 1
Cl1 0.0000 0.0000 0.7567 1
```



> density of number 4 (La2SeCl)?

5.9 g/cm³